# NaLiF2 PBE-GGA optimized geometry
data_NaLiF2
_symmetry_space_group_name_H-M 'I -4 2 d'
_symmetry_Int_Tables_number 122
_symmetry_space_group_name_Hall 'I -4 2bw'
_cell_length_a 5.035
_cell_length_b 5.035
_cell_length_c 8.245
_cell_angle_alpha 90.00
_cell_angle_beta 90.00
_cell_angle_gamma 90.00
loop_
_atom_site_label
_atom_site_type_symbol
_atom_site_fract_x
_atom_site_fract_y
_atom_site_fract_z
Na1 Na 0.000 0.000 0.000
Li1 Li 0.000 0.000 0.500
F1 F 0.197 0.250 0.625
# Offset from the most stable computed form in meV/atom: 19
# Total moment in μB/f.u.: 0.00
# Formation energy (no corrections) in eV/atom: -2.7831